(1)
Below is crystalline Hg2PdW at its relaxed geometry, with properties calculated at the PBE level.

The structure in CIF format:
```
data_Hg2PdW
_chemical_formula_sum 'Hg2 Pd1 W1'
_symmetry_space_group_name_H-M 'P 1'
_symmetry_Int_Tables_number 1
_cell_length_a 4.694
_cell_length_b 4.694
_cell_length_c 4.694
_cell_angle_alpha 60.00
_cell_angle_beta 60.00
_cell_angle_gamma 60.00
loop_
_symmetry_equiv_pos_as_xyz
'x,y,z'
loop_
_atom_site_label
_atom_site_fract_x
_atom_site_fract_y
_atom_site_fract_z
Hg1 0.250 0.250 0.250
Hg2 0.750 0.750 0.750
Pd1 0.000 0.000 0.000
W1 0.500 0.500 0.500
```

Relative energy among the computed polymorphs in meV per atom: 0
Formation energy from the elements in eV per atom: 0.726
Calculated volume in Å³/atom: 18.28
Spin magnetization in μB/f.u.: 1.628

(2)
Below is crystalline Sm2ErTm9 at its relaxed geometry, with properties calculated at the PBE level.

The structure in CIF format:
```
data_Sm2ErTm9
_chemical_formula_sum 'Sm2 Er1 Tm9'
_symmetry_space_group_name_H-M 'P 1'
_symmetry_Int_Tables_number 1
_cell_length_a 4.967
_cell_length_b 4.967
_cell_length_c 14.899
_cell_angle_alpha 90.00
_cell_angle_beta 90.00
_cell_angle_gamma 90.00
loop_
_symmetry_equiv_pos_as_xyz
'x,y,z'
loop_
_atom_site_label
_atom_site_fract_x
_atom_site_fract_y
_atom_site_fract_z
Sm1 0.000 0.000 0.167
Sm2 0.000 0.000 0.833
Er1 0.000 0.000 0.500
Tm1 0.000 0.500 0.000
Tm2 0.000 0.500 0.335
Tm3 0.000 0.500 0.665
Tm4 0.500 0.000 0.000
Tm5 0.500 0.000 0.335
Tm6 0.500 0.000 0.665
Tm7 0.500 0.500 0.168
Tm8 0.500 0.500 0.500
Tm9 0.500 0.500 0.832
```

Relative energy among the computed polymorphs in meV per atom: 0
Formation energy from the elements in eV per atom: 0.027
Calculated volume in Å³/atom: 30.63
Spin magnetization in μB/f.u.: 0.001

(3)
Below is crystalline Li2SmTl2Ag2 at its relaxed geometry, with properties calculated at the PBE level.

The structure in CIF format:
```
data_Li2SmTl2Ag2
_chemical_formula_sum 'Li2 Sm1 Tl2 Ag2'
_symmetry_space_group_name_H-M 'P 1'
_symmetry_Int_Tables_number 1
_cell_length_a 7.900
_cell_length_b 7.900
_cell_length_c 7.900
_cell_angle_alpha 35.96
_cell_angle_beta 35.96
_cell_angle_gamma 35.96
loop_
_symmetry_equiv_pos_as_xyz
'x,y,z'
loop_
_atom_site_label
_atom_site_fract_x
_atom_site_fract_y
_atom_site_fract_z
Li1 0.144 0.144 0.144
Li2 0.856 0.856 0.856
Sm1 0.000 0.000 0.000
Tl1 0.268 0.268 0.268
Tl2 0.732 0.732 0.732
Ag1 0.433 0.433 0.433
Ag2 0.567 0.567 0.567
```

Formation energy from the elements in eV per atom: -0.187
Calculated volume in Å³/atom: 21.72
Spin magnetization in μB/f.u.: 0.000

(4)
Below is crystalline AgOsSe4 at its relaxed geometry, with properties calculated at the PBE level.

The structure in CIF format:
```
data_AgOsSe4
_chemical_formula_sum 'Ag2 Os2 Se8'
_symmetry_space_group_name_H-M 'P 1'
_symmetry_Int_Tables_number 1
_cell_length_a 6.632
_cell_length_b 6.942
_cell_length_c 7.184
_cell_angle_alpha 114.16
_cell_angle_beta 96.17
_cell_angle_gamma 107.14
loop_
_symmetry_equiv_pos_as_xyz
'x,y,z'
loop_
_atom_site_label
_atom_site_fract_x
_atom_site_fract_y
_atom_site_fract_z
Ag1 0.244 0.131 0.435
Ag2 0.756 0.869 0.565
Os1 0.291 0.455 0.019
Os2 0.709 0.545 0.981
Se1 0.037 0.193 0.142
Se2 0.075 0.673 0.250
Se3 0.417 0.571 0.750
Se4 0.418 0.149 0.798
Se5 0.582 0.851 0.202
Se6 0.583 0.429 0.250
Se7 0.925 0.327 0.750
Se8 0.963 0.807 0.858
```

Relative energy among the computed polymorphs in meV per atom: 0
Calculated volume in Å³/atom: 23.19
Uncorrected formation energy in eV/atom: 0.02
Spin magnetization in μB/f.u.: 0.000

(5)
Below is crystalline NiPSeN2 at its relaxed geometry, with properties calculated at the PBE level.

The structure in CIF format:
```
data_NiPSeN2
_chemical_formula_sum 'Ni1 P1 Se1 N2'
_symmetry_space_group_name_H-M 'P 1'
_symmetry_Int_Tables_number 1
_cell_length_a 3.300
_cell_length_b 3.300
_cell_length_c 6.676
_cell_angle_alpha 90.00
_cell_angle_beta 90.00
_cell_angle_gamma 90.00
loop_
_symmetry_equiv_pos_as_xyz
'x,y,z'
loop_
_atom_site_label
_atom_site_fract_x
_atom_site_fract_y
_atom_site_fract_z
Ni1 0.000 0.000 0.000
P1 0.500 0.500 0.500
Se1 0.500 0.500 0.000
N1 0.000 0.500 0.500
N2 0.500 0.000 0.500
```

Relative energy among the computed polymorphs in meV per atom: 0
Calculated volume in Å³/atom: 14.54
Uncorrected formation energy in eV/atom: 0.75
Spin magnetization in μB/f.u.: 0.000

(6)
Below is crystalline TiSnOs2 at its relaxed geometry, with properties calculated at the PBE level.

The structure in CIF format:
```
data_TiSnOs2
_chemical_formula_sum 'Ti2 Sn2 Os4'
_symmetry_space_group_name_H-M 'P 1'
_symmetry_Int_Tables_number 1
_cell_length_a 4.845
_cell_length_b 4.845
_cell_length_c 10.074
_cell_angle_alpha 105.78
_cell_angle_beta 105.78
_cell_angle_gamma 36.15
loop_
_symmetry_equiv_pos_as_xyz
'x,y,z'
loop_
_atom_site_label
_atom_site_fract_x
_atom_site_fract_y
_atom_site_fract_z
Ti1 0.000 0.000 0.000
Ti2 0.572 0.572 0.602
Sn1 0.223 0.223 0.846
Sn2 0.261 0.261 0.461
Os1 0.319 0.319 0.126
Os2 0.621 0.621 0.204
Os3 0.903 0.903 0.710
Os4 0.953 0.953 0.345
```

Formation energy from the elements in eV per atom: -0.029
Calculated volume in Å³/atom: 16.71
Spin magnetization in μB/f.u.: 0.000

(7)
Below is crystalline Rb2ScRuW at its relaxed geometry, with properties calculated at the PBE level.

The structure in CIF format:
```
data_Rb2ScRuW
_chemical_formula_sum 'Rb2 Sc1 Ru1 W1'
_symmetry_space_group_name_H-M 'P 1'
_symmetry_Int_Tables_number 1
_cell_length_a 6.753
_cell_length_b 6.753
_cell_length_c 4.589
_cell_angle_alpha 90.00
_cell_angle_beta 90.00
_cell_angle_gamma 90.00
loop_
_symmetry_equiv_pos_as_xyz
'x,y,z'
loop_
_atom_site_label
_atom_site_fract_x
_atom_site_fract_y
_atom_site_fract_z
Rb1 0.000 0.500 0.000
Rb2 0.500 0.000 0.000
Sc1 0.000 0.000 0.500
Ru1 0.500 0.500 0.500
W1 0.500 0.500 0.000
```

Formation energy from the elements in eV per atom: 1.861
Calculated volume in Å³/atom: 41.85
Spin magnetization in μB/f.u.: 3.228

(8)
Below is crystalline FeNiPb3 at its relaxed geometry, with properties calculated at the PBE level.

The structure in CIF format:
```
data_FeNiPb3
_chemical_formula_sum 'Fe1 Ni1 Pb3'
_symmetry_space_group_name_H-M 'P 1'
_symmetry_Int_Tables_number 1
_cell_length_a 5.108
_cell_length_b 5.108
_cell_length_c 5.108
_cell_angle_alpha 90.00
_cell_angle_beta 90.00
_cell_angle_gamma 90.00
loop_
_symmetry_equiv_pos_as_xyz
'x,y,z'
loop_
_atom_site_label
_atom_site_fract_x
_atom_site_fract_y
_atom_site_fract_z
Fe1 0.000 0.000 0.000
Ni1 0.500 0.500 0.500
Pb1 0.000 0.500 0.500
Pb2 0.500 0.000 0.500
Pb3 0.500 0.500 0.000
```

Relative energy among the computed polymorphs in meV per atom: 0
Formation energy from the elements in eV per atom: 0.700
Calculated volume in Å³/atom: 26.65
Spin magnetization in μB/f.u.: 3.053